KDyCoO3 | the Open Quantum Materials Database | PBE+U | relaxed; SG = Cmcm (63); calculated total energy = -76.48 eV per cell; M_tot = 0.5001 μB per atom
1.0
1.750 -5.888 0.000
1.750 5.888 0.000
0.000 0.000 9.105
K Dy Co O
2 2 2 6
direct
0.226 0.774 0.750
0.774 0.226 0.250
0.500 0.500 0.000
0.500 0.500 0.500
0.049 0.951 0.250
0.951 0.049 0.750
0.116 0.884 0.059
0.116 0.884 0.441
0.458 0.542 0.250
0.542 0.458 0.750
0.884 0.116 0.559
0.884 0.116 0.941